[1]
A plane-wave DFT calculation with PBE was carried out for crystalline KRbAg2 at its relaxed geometry.

Summary:
The energy above the most stable polymorph in this dataset is 194 meV/atom. The formation enthalpy at 0 K is 0.216 eV/atom. For the density of states at the Fermi level, the calculation gives 0.000 states/eV/f.u.

Cell lengths 9.1717, 9.1717, 8.7284 Å; angles 90.00, 90.00, 90.00 degrees
Space group I-42d (No. 122)
Inequivalent atoms, fractional coordinates:
K 0.0000 0.0000 0.0000
Rb 0.0000 0.0000 0.5000
Ag 0.2362 0.2500 0.1250



[2]
A plane-wave DFT calculation with PBE was carried out for crystalline K12Rb3Ag at its relaxed geometry.

Summary:
The formation enthalpy at 0 K is 0.036 eV/atom. For the density of states at the Fermi level, the calculation gives 10.536 states/eV/f.u.

Cell lengths 6.5787, 6.5787, 25.2829 Å; angles 90.00, 90.00, 90.00 degrees
Space group P4/mmm (No. 123)
Inequivalent atoms, fractional coordinates:
K 0.0000 0.0000 0.0000
K 0.0000 0.0000 0.2271
K 0.0000 0.0000 0.5000
K 0.0000 0.5000 0.0921
K 0.0000 0.5000 0.3638
Rb 0.5000 0.5000 0.2280
Rb 0.5000 0.5000 0.5000
Ag 0.5000 0.5000 0.0000



[3]
A plane-wave DFT calculation with PBE was carried out for crystalline KRbAg2 at its relaxed geometry.

Summary:
The energy above the most stable polymorph in this dataset is 85 meV/atom. The formation enthalpy at 0 K is 0.106 eV/atom. For the density of states at the Fermi level, the calculation gives 0.753 states/eV/f.u.

Cell lengths 8.4114, 8.4114, 8.4114 Å; angles 90.00, 90.00, 90.00 degrees
Space group Fm-3m (No. 225)
Inequivalent atoms, fractional coordinates:
K 0.0000 0.0000 0.0000
Rb 0.0000 0.0000 0.5000
Ag 0.2500 0.2500 0.2500



[4]
A plane-wave DFT calculation with PBE was carried out for crystalline K8Rb6Ag at its relaxed geometry.

Summary:
The formation enthalpy at 0 K is 0.019 eV/atom. For the density of states at the Fermi level, the calculation gives 11.212 states/eV/f.u.

Cell lengths 12.7777, 12.7777, 23.8105 Å; angles 90.00, 90.00, 120.00 degrees
Space group R-3 (No. 148, hexagonal axes)
Inequivalent atoms, fractional coordinates:
K 0.0000 0.0000 0.2441
K 0.0496 0.2370 0.9149
Rb 0.0387 0.2393 0.4138
Ag 0.0000 0.0000 0.0000



[5]
A plane-wave DFT calculation with PBE was carried out for crystalline K6Rb2Ag at its relaxed geometry.

Summary:
The formation enthalpy at 0 K is 0.024 eV/atom. For the density of states at the Fermi level, the calculation gives 6.389 states/eV/f.u.

Cell lengths 16.5659, 9.5673, 9.5673 Å; angles 90.00, 125.27, 90.00 degrees
Space group C2/m (No. 12)
Inequivalent atoms, fractional coordinates:
K 0.0001 0.2471 0.2472
K 0.2470 0.0000 0.2465
Rb 0.2500 0.0000 0.7497
Ag 0.0000 0.5000 0.5000



[6]
A plane-wave DFT calculation with PBE was carried out for crystalline KRbAg3 at its relaxed geometry.

Summary:
The energy above the most stable polymorph in this dataset is 547 meV/atom. The formation enthalpy at 0 K is 0.687 eV/atom. For the density of states at the Fermi level, the calculation gives 5.835 states/eV/f.u.

Cell lengths 6.3401, 6.3401, 6.3401 Å; angles 90.00, 90.00, 90.00 degrees
Space group Pm-3m (No. 221)
Inequivalent atoms, fractional coordinates:
K 0.0000 0.0000 0.0000
Rb 0.5000 0.5000 0.5000
Ag 0.0000 0.5000 0.5000



[7]
A plane-wave DFT calculation with PBE was carried out for crystalline KRbAg5 at its relaxed geometry.

Summary:
The formation enthalpy at 0 K is 0.066 eV/atom. For the density of states at the Fermi level, the calculation gives 1.604 states/eV/f.u.

Cell lengths 10.0395, 5.8598, 13.0318 Å; angles 90.00, 90.00, 90.00 degrees
Space group Pnma (No. 62)
Inequivalent atoms, fractional coordinates:
K 0.2464 0.2500 0.0772
Rb 0.1252 0.2500 0.3804
Ag 0.0547 0.2500 0.6444
Ag 0.0587 0.7500 0.0139
Ag 0.0703 0.5008 0.8271
Ag 0.1831 0.7500 0.2252



[8]
A plane-wave DFT calculation with PBE was carried out for crystalline K3Rb7Ag at its relaxed geometry.

Summary:
The formation enthalpy at 0 K is 0.057 eV/atom. For the density of states at the Fermi level, the calculation gives 9.137 states/eV/f.u.

Cell lengths 12.6054, 13.7998, 10.3177 Å; angles 90.00, 103.94, 90.00 degrees
Space group Cm (No. 8)
Inequivalent atoms, fractional coordinates:
K 0.0000 0.0000 0.0000
K 0.0725 0.1736 0.3654
Rb 0.1802 0.5000 0.6078
Rb 0.2140 0.0000 0.7426
Rb 0.2137 0.3236 0.0616
Rb 0.4029 0.0000 0.1908
Rb 0.4283 0.2335 0.7006
Ag 0.0145 0.5000 0.8736



Look up the formation enthalpy at 0 K of the second one.
0.036 eV/atom



Please write out number 4 again, unchanged.
A plane-wave DFT calculation with PBE was carried out for crystalline K8Rb6Ag at its relaxed geometry.

Summary:
The formation enthalpy at 0 K is 0.019 eV/atom. For the density of states at the Fermi level, the calculation gives 11.212 states/eV/f.u.

Cell lengths 12.7777, 12.7777, 23.8105 Å; angles 90.00, 90.00, 120.00 degrees
Space group R-3 (No. 148, hexagonal axes)
Inequivalent atoms, fractional coordinates:
K 0.0000 0.0000 0.2441
K 0.0496 0.2370 0.9149
Rb 0.0387 0.2393 0.4138
Ag 0.0000 0.0000 0.0000



formation enthalpy at 0 K of number 8 (K3Rb7Ag)?
0.057 eV/atom



Copy entry 2 word for word.
A plane-wave DFT calculation with PBE was carried out for crystalline K12Rb3Ag at its relaxed geometry.

Summary:
The formation enthalpy at 0 K is 0.036 eV/atom. For the density of states at the Fermi level, the calculation gives 10.536 states/eV/f.u.

Cell lengths 6.5787, 6.5787, 25.2829 Å; angles 90.00, 90.00, 90.00 degrees
Space group P4/mmm (No. 123)
Inequivalent atoms, fractional coordinates:
K 0.0000 0.0000 0.0000
K 0.0000 0.0000 0.2271
K 0.0000 0.0000 0.5000
K 0.0000 0.5000 0.0921
K 0.0000 0.5000 0.3638
Rb 0.5000 0.5000 0.2280
Rb 0.5000 0.5000 0.5000
Ag 0.5000 0.5000 0.0000